[1]
An optimized crystal structure of KPuCO5, computed with PBEsol.

The space group is P6_3/mmc (No. 194) and the conventional cell measures 5.0363, 5.0363 and 10.1323 Å, with angles of 90.00, 90.00 and 120.00 degrees. The distinct sites, in fractional coordinates, are K at (0.0000, 0.0000, 0.0000), Pu at (0.3333, 0.6667, 0.2500), C at (0.3333, 0.6667, 0.7500), O at (0.1854, 0.3708, 0.7500) and O at (0.3333, 0.6667, 0.0706).

Its final energy is -8.700 eV/atom. Its uncorrected formation energy is -2.18 eV per atom.

[2]
An optimized crystal structure of ZnRh3Br, computed with PBEsol.

The space group is Pm-3m (No. 221) and the conventional cell measures 4.547, 4.547 and 4.547 Å, with angles of 90.00, 90.00 and 90.00 degrees. The distinct sites, in fractional coordinates, are Zn at (0.000, 0.000, 0.000), Rh at (0.000, 0.000, 0.500) and Br at (0.500, 0.500, 0.500).

Its final energy is -4.263 eV/atom. Its uncorrected formation energy is 1.31 eV per atom.

[3]
An optimized crystal structure of Tb3Dy, computed with PBEsol.

The space group is I4/mmm (No. 139) and the conventional cell measures 4.912, 4.912 and 9.827 Å, with angles of 90.00, 90.00 and 90.00 degrees. The distinct sites, in fractional coordinates, are Tb at (0.000, 0.000, 0.000), Tb at (0.000, 0.500, 0.250) and Dy at (0.000, 0.000, 0.500).

Its final energy is -4.991 eV/atom.

[4]
An optimized crystal structure of KTaCl2, computed with PBEsol.

The space group is P4mm (No. 99) and the conventional cell measures 3.427, 3.427 and 7.461 Å, with angles of 90.00, 90.00 and 90.00 degrees. The distinct sites, in fractional coordinates, are K at (0.000, 0.000, 0.000), Ta at (0.500, 0.500, 0.404), Cl at (0.000, 0.000, 0.501) and Cl at (0.500, 0.500, 0.744).

Its final energy is -4.730 eV/atom. The value obtained for the relative energy among the computed polymorphs is 11.0 kJ/mol of atoms. Its uncorrected formation energy is -0.31 eV per atom.

[5]
An optimized crystal structure of ScTlW, computed with PBEsol.

The space group is Imm2 (No. 44) and the conventional cell measures 3.109, 3.845 and 9.582 Å, with angles of 90.00, 90.00 and 90.00 degrees. The distinct sites, in fractional coordinates, are Sc at (0.000, 0.000, 0.000), Tl at (0.000, 0.000, 0.678) and W at (0.000, 0.000, 0.343).

Its final energy is -7.285 eV/atom. The value obtained for the relative energy among the computed polymorphs is 3.4 kJ/mol of atoms.

[6]
An optimized crystal structure of YMgPb2, computed with PBEsol.

The space group is P4/mmm (No. 123) and the conventional cell measures 4.857, 4.857 and 4.362 Å, with angles of 90.00, 90.00 and 90.00 degrees. The distinct sites, in fractional coordinates, are Y at (0.000, 0.000, 0.000), Mg at (0.500, 0.500, 0.000) and Pb at (0.000, 0.500, 0.500).

Its final energy is -4.532 eV/atom.

[7]
An optimized crystal structure of NiSbOs2, computed with PBEsol.

The space group is Pmmm (No. 47) and the conventional cell measures 2.855, 4.559 and 4.573 Å, with angles of 90.00, 90.00 and 90.00 degrees. The distinct sites, in fractional coordinates, are Ni at (0.000, 0.000, 0.000), Sb at (0.500, 0.500, 0.000), Os at (0.000, 0.500, 0.500) and Os at (0.500, 0.000, 0.500).

Its final energy is -8.170 eV/atom. Its uncorrected formation energy is 0.62 eV per atom.

[8]
An optimized crystal structure of Na2CuH4C4O10, computed with PBEsol.

The space group is P-1 (No. 2) and the conventional cell measures 3.571, 7.466 and 9.489 Å, with angles of 103.66, 98.64 and 103.80 degrees. The distinct sites, in fractional coordinates, are Na at (0.201, 0.301, 0.075), Cu at (0.500, 0.000, 0.500), H at (0.022, 0.470, 0.702), H at (0.151, 0.679, 0.678), C at (0.235, 0.027, 0.755), C at (0.459, 0.780, 0.224), O at (0.066, 0.000, 0.856), O at (0.177, 0.902, 0.626), O at (0.194, 0.604, 0.748), O at (0.307, 0.765, 0.338) and O at (0.374, 0.653, 0.104).

Its final energy is -6.508 eV/atom.

Question: Which formula does entry 5 have?
Answer: ScTlW